(1)
The following is a GGA-PBE calculation of a relaxed structure of KCd5Au2, from Alexandria.

The space group is Immm (No. 71) and the conventional cell measures 4.454, 8.390 and 10.919 Å, with angles of 90.00, 90.00 and 90.00 degrees. The asymmetric unit holds K at (0.000, 0.000, 0.000), Cd at (0.000, 0.189, 0.350), Cd at (0.000, 0.500, 0.000) and Au at (0.000, 0.500, 0.257).

The energy relative to the elements comes out at -138 kJ/mol of formula units. As for the total energy: -1.707 eV/atom.

(2)
The following is a GGA-PBE calculation of a relaxed structure of Sc4CrCo, from Alexandria.

The space group is F-43m (No. 216) and the conventional cell measures 7.914, 7.914 and 7.914 Å, with angles of 90.00, 90.00 and 90.00 degrees. The asymmetric unit holds Sc at (0.124, 0.124, 0.124), Cr at (0.000, 0.000, 0.500) and Co at (0.250, 0.250, 0.750).

The energy relative to the elements comes out at 434 kJ/mol of formula units. As for the total energy: -6.260 eV/atom.

(3)
The following is a GGA-PBE calculation of a relaxed structure of Ac3Zn2Ir3, from Alexandria.

The space group is Cmcm (No. 63) and the conventional cell measures 4.304, 11.953 and 14.944 Å, with angles of 90.00, 90.00 and 90.00 degrees. The asymmetric unit holds Ac at (0.000, 0.080, 0.113), Ac at (0.000, 0.356, 0.250), Zn at (0.000, 0.217, 0.579), Ir at (0.000, 0.324, 0.750) and Ir at (0.000, 0.398, 0.039).

The energy relative to the elements comes out at -402 kJ/mol of formula units. As for the total energy: -5.703 eV/atom.

(4)
The following is a GGA-PBE calculation of a relaxed structure of Ta2W, from Alexandria.

The space group is I4_1/amd (No. 141, origin choice 2) and the conventional cell measures 3.211, 3.211 and 21.961 Å, with angles of 90.00, 90.00 and 90.00 degrees. The asymmetric unit holds Ta at (0.000, 0.250, 0.303) and W at (0.000, 0.250, 0.875).

The value obtained for the energy above the most stable polymorph in this dataset is 0.624 eV/atom. The energy relative to the elements comes out at 158 kJ/mol of formula units. As for the total energy: -11.674 eV/atom.